Record 1
{
  "formula": "Cs4TeBr2",
  "functional": "PBE-GGA",
  "state": "relaxed",
  "lattice": [[5.307, 0.000, 0.000], [0.000, 15.023, 0.000], [0.000, 0.000, 18.729]],
  "species": ["Te", "Te", "Te", "Te", "Cs", "Cs", "Cs", "Cs", "Cs", "Cs", "Cs", "Cs", "Cs", "Cs", "Cs", "Cs", "Cs", "Cs", "Cs", "Cs", "Br", "Br", "Br", "Br", "Br", "Br", "Br", "Br"],
  "frac_coords": [[0.250, 0.735, 0.658], [0.750, 0.265, 0.342], [0.250, 0.235, 0.842], [0.750, 0.765, 0.158], [0.750, 0.073, 0.913], [0.750, 0.011, 0.287], [0.750, 0.573, 0.587], [0.250, 0.489, 0.787], [0.250, 0.989, 0.713], [0.750, 0.264, 0.699], [0.250, 0.236, 0.199], [0.250, 0.736, 0.301], [0.250, 0.161, 0.475], [0.250, 0.661, 0.025], [0.250, 0.927, 0.087], [0.750, 0.511, 0.213], [0.750, 0.339, 0.975], [0.750, 0.839, 0.525], [0.250, 0.427, 0.413], [0.750, 0.764, 0.801], [0.250, 0.896, 0.895], [0.750, 0.562, 0.900], [0.750, 0.062, 0.600], [0.250, 0.938, 0.400], [0.250, 0.438, 0.100], [0.750, 0.104, 0.105], [0.750, 0.604, 0.395], [0.250, 0.396, 0.605]],
  "raw_formation_energy_mev_per_atom": -1426
}



Record 2
{
  "formula": "Pr4Ir2Pd",
  "functional": "PBE-GGA",
  "state": "relaxed",
  "lattice": [[7.730, -1.065, -0.158], [-1.619, 7.634, 0.159], [-2.939, -3.391, 6.387]],
  "species": ["Ir", "Ir", "Ir", "Ir", "Pr", "Pr", "Pr", "Pr", "Pr", "Pr", "Pr", "Pr", "Pd", "Pd"],
  "frac_coords": [[0.125, 0.245, 0.620], [0.625, 0.505, 0.380], [0.755, 0.375, 0.880], [0.495, 0.875, 0.120], [0.868, 0.242, 0.250], [0.758, 0.009, 0.625], [0.383, 0.132, 0.375], [0.493, 0.618, 0.751], [0.992, 0.617, 0.749], [0.382, 0.133, 0.875], [0.867, 0.742, 0.249], [0.258, 0.508, 0.126], [0.250, 0.750, 0.500], [0.000, 0.000, 0.000]],
  "final_energy_ev_per_atom": -6.63
}



Record 3
{
  "formula": "KLiCu",
  "functional": "PBE-GGA",
  "state": "relaxed",
  "lattice": [[-4.681, 2.016, 1.251], [-4.047, -3.187, 1.001], [-1.830, -0.459, 4.897]],
  "species": ["Cu", "K", "Li"],
  "frac_coords": [[0.500, 0.500, 0.500], [0.750, 0.750, 0.750], [0.000, 0.000, 0.000]],
  "final_energy_ev_per_atom": -1.66
}



Record 4
{
  "formula": "Sc2Fe2SiGe2",
  "functional": "PBE-GGA",
  "state": "relaxed",
  "lattice": [[-0.966, -3.991, -0.590], [2.454, -0.100, -3.342], [4.642, 0.149, 5.978]],
  "species": ["Ge", "Ge", "Si", "Sc", "Sc", "Fe", "Fe"],
  "frac_coords": [[0.383, 0.383, 0.766], [0.617, 0.617, 0.234], [0.000, 0.000, 0.000], [0.182, 0.182, 0.364], [0.818, 0.818, 0.636], [0.500, 0.000, 0.000], [0.000, 0.500, 0.000]],
  "raw_formation_energy_mev_per_atom": -195
}



Record 5
{
  "formula": "CoNiSnPd",
  "functional": "PBE-GGA",
  "state": "relaxed",
  "lattice": [[4.318, 0.000, 0.000], [2.159, 3.740, 0.000], [2.159, 1.247, 3.526]],
  "species": ["Sn", "Co", "Ni", "Pd"],
  "frac_coords": [[0.500, 0.500, 0.500], [0.750, 0.750, 0.750], [0.250, 0.250, 0.250], [0.000, 0.000, 0.000]],
  "final_energy_ev_per_atom": -5.61
}



Record 6
{
  "formula": "YAlSe3",
  "functional": "PBE-GGA",
  "state": "relaxed",
  "lattice": [[-3.705, -0.811, -3.408], [2.289, -4.316, -1.461], [-3.568, -3.486, 4.709]],
  "species": ["Se", "Se", "Se", "Y", "Al"],
  "frac_coords": [[0.500, 0.000, 0.395], [0.000, 0.000, 0.824], [0.000, 0.500, 0.395], [0.000, 0.000, 0.203], [0.500, 0.500, 0.447]],
  "raw_formation_energy_mev_per_atom": -672
}